Entry one
Density functional theory data (PBE) for a relaxed structure of Y3FeSe.

Lattice parameters (Å, degrees): 3.8509 8.2653 8.0153 108.19 90.00 90.00
Last column: nearest neighbours and their distance in Å.
Positions (direct):
Y (0.2500, 0.5956, 0.3380)  3 Fe 2.95, 3 Se 2.96-3.10
Y (0.7500, 0.4044, 0.6620)  3 Fe 2.95, 3 Se 2.96-3.10
Y (0.2500, 0.0651, 0.6888)  3 Se 3.06-3.21, 1 Fe 3.22
Y (0.7500, 0.2389, 0.0820)  3 Fe 2.68-2.99
Y (0.7500, 0.9349, 0.3112)  3 Se 3.06-3.21, 1 Fe 3.22
Y (0.2500, 0.7611, 0.9180)  3 Fe 2.68-2.99
Fe (0.7500, 0.5510, 0.0477)  2 Fe 2.14
Fe (0.2500, 0.4490, 0.9523)  2 Fe 2.14
Se (0.7500, 0.7642, 0.6196)  8 Y 2.96-3.21
Se (0.2500, 0.2358, 0.3804)  8 Y 2.96-3.21

Computed properties:
**Total magnetic moment**: 0.00 μB per cell
**DOS at the Fermi energy**: 8.21 states/eV/cell
**Mass density**: 5.50 g cm⁻³

=====

Entry two
Density functional theory data (PBE) for a relaxed structure of Y3FeSe.

Lattice parameters (Å, degrees): 5.1340 5.1340 5.1340 90.00 90.00 90.00
Last column: nearest neighbours and their distance in Å.
Positions (direct):
Y (0.0000, 0.5000, 0.0000)  2 Fe 2.57
Y (0.0000, 0.0000, 0.5000)  2 Fe 2.57
Y (0.5000, 0.0000, 0.0000)  2 Fe 2.57
Fe (0.0000, 0.0000, 0.0000)  6 Y 2.57
Se (0.5000, 0.5000, 0.5000)  12 Y 3.63

Computed properties:
**Total magnetic moment**: 0.00 μB per cell
**DOS at the Fermi energy**: 6.02 states/eV/cell
**Mass density**: 4.93 g cm⁻³

=====

Of them, the most stable is entry one and the least stable is entry two.

=====

Entry one
Density functional theory data (PBE) for a relaxed structure of ZnFe2Se.

Lattice parameters (Å, degrees): 3.0431 3.0431 6.6391 90.00 90.00 90.00
Last column: nearest neighbours and their distance in Å.
Positions (direct):
Fe (0.0000, 0.0000, 0.0288)  4 Fe 2.54, 4 Zn 2.55, 1 Se 2.57
Fe (0.5000, 0.5000, 0.2330)  4 Se 2.47, 4 Fe 2.54, 1 Zn 2.72
Se (0.0000, 0.0000, 0.4154)  5 Fe 2.47-2.57
Zn (0.5000, 0.5000, 0.8228)  5 Fe 2.55-2.72

Computed properties:
**Total magnetic moment**: 4.27 μB per cell
**DOS at the Fermi energy**: 1.80 states/eV/cell
**Mass density**: 6.92 g cm⁻³

=====

Entry two
Density functional theory data (PBE) for a relaxed structure of ZnFe2Se.

Lattice parameters (Å, degrees): 4.1149 4.1149 4.1149 60.00 60.00 60.00
Last column: nearest neighbours and their distance in Å.
Positions (direct):
Zn (0.0000, 0.0000, 0.0000)  8 Fe 2.52
Fe (0.2500, 0.2500, 0.2500)  4 Se 2.52, 4 Zn 2.52
Fe (0.7500, 0.7500, 0.7500)  4 Se 2.52, 4 Zn 2.52
Se (0.5000, 0.5000, 0.5000)  8 Fe 2.52

Computed properties:
**Total magnetic moment**: 0.00 μB per cell
**DOS at the Fermi energy**: 2.15 states/eV/cell
**Mass density**: 8.63 g cm⁻³

=====

Of them, the most stable is entry one and the least stable is entry two.

=====

Entry one
Density functional theory data (PBE) for a relaxed structure of ZnFe2Se.

Lattice parameters (Å, degrees): 4.7540 4.7540 4.7540 132.66 132.66 69.20
Last column: nearest neighbours and their distance in Å.
Positions (direct):
Fe (0.0000, 0.0000, 0.0000)  4 Fe 2.70, 4 Se 2.73, 4 Zn 2.73
Fe (0.5000, 0.5000, 0.0000)  4 Fe 2.70, 4 Se 2.73, 4 Zn 2.73
Se (0.2500, 0.7500, 0.5000)  4 Zn 2.70, 8 Fe 2.73
Zn (0.7500, 0.2500, 0.5000)  4 Se 2.70, 8 Fe 2.73

Computed properties:
**Total magnetic moment**: 5.52 μB per cell
**DOS at the Fermi energy**: 3.66 states/eV/cell
**Mass density**: 7.46 g cm⁻³

=====

Entry two
Density functional theory data (PBE) for a relaxed structure of ZnFe2Se.

Lattice parameters (Å, degrees): 3.2095 3.2095 5.4884 90.00 90.00 90.02
Last column: nearest neighbours and their distance in Å.
Positions (direct):
Fe (0.0000, 0.0000, 0.9862)  2 Fe 2.59-2.90, 4 Zn 2.61, 4 Se 2.69
Fe (0.0000, 0.0000, 0.5138)  2 Fe 2.59-2.90, 4 Zn 2.61, 4 Se 2.69
Se (0.5000, 0.5000, 0.2500)  8 Fe 2.69, 2 Zn 2.74
Zn (0.5000, 0.5000, 0.7500)  8 Fe 2.61, 2 Se 2.74

Computed properties:
**Total magnetic moment**: 5.34 μB per cell
**DOS at the Fermi energy**: 4.00 states/eV/cell
**Mass density**: 7.52 g cm⁻³

=====

Entry three
Density functional theory data (PBE) for a relaxed structure of ZnFe2Se.

Lattice parameters (Å, degrees): 4.3187 4.3187 4.3187 60.00 60.00 60.00
Last column: nearest neighbours and their distance in Å.
Positions (direct):
Fe (0.0000, 0.0000, 0.0000)  4 Fe 2.64, 4 Zn 2.64
Fe (0.2500, 0.2500, 0.2500)  4 Se 2.64, 4 Fe 2.64
Se (0.5000, 0.5000, 0.5000)  4 Fe 2.64, 4 Zn 2.64
Zn (0.7500, 0.7500, 0.7500)  4 Fe 2.64, 4 Se 2.64

Computed properties:
**Total magnetic moment**: 4.92 μB per cell
**DOS at the Fermi energy**: 2.86 states/eV/cell
**Mass density**: 7.47 g cm⁻³

=====

Entry four
Density functional theory data (PBE) for a relaxed structure of ZnFe2Se.

Lattice parameters (Å, degrees): 4.3864 4.3864 4.5832 79.84 79.84 40.84
Last column: nearest neighbours and their distance in Å.
Positions (direct):
Fe (0.0014, 0.0014, 0.0025)  3 Zn 2.52-2.65, 3 Se 2.55-2.64, 4 Fe 2.73-2.78
Fe (0.4986, 0.4986, 0.4975)  3 Zn 2.52-2.65, 3 Se 2.55-2.64, 4 Fe 2.73-2.78
Se (0.7500, 0.7500, 0.7500)  6 Fe 2.55-2.64, 4 Zn 2.76
Zn (0.2500, 0.2500, 0.2500)  6 Fe 2.52-2.65, 4 Se 2.76

Computed properties:
**Total magnetic moment**: 4.96 μB per cell
**DOS at the Fermi energy**: 2.64 states/eV/cell
**Mass density**: 7.51 g cm⁻³

=====

Of them, the most stable is entry two and the least stable is entry three.

=====

Entry one
Density functional theory data (PBE) for a relaxed structure of ZnFe2Se.

Lattice parameters (Å, degrees): 3.4565 4.2242 3.8563 90.00 90.00 90.00
Last column: nearest neighbours and their distance in Å.
Positions (direct):
Fe (0.0000, 0.0000, 0.0000)  4 Se 2.59, 4 Fe 2.73, 4 Zn 2.86
Fe (0.5000, 0.5000, 0.0000)  4 Zn 2.59, 4 Fe 2.73, 4 Se 2.86
Se (0.5000, 0.0000, 0.5000)  8 Fe 2.59-2.86, 4 Zn 2.73
Zn (0.0000, 0.5000, 0.5000)  8 Fe 2.59-2.86, 4 Se 2.73

Computed properties:
**Total magnetic moment**: 5.15 μB per cell
**DOS at the Fermi energy**: 3.25 states/eV/cell
**Mass density**: 7.55 g cm⁻³

=====

Entry two
Density functional theory data (PBE) for a relaxed structure of ZnFe2Se.

Lattice parameters (Å, degrees): 7.9969 7.9969 7.9969 20.72 20.72 20.72
Last column: nearest neighbours and their distance in Å.
Positions (direct):
Fe (0.9965, 0.9965, 0.9965)  3 Se 2.50, 3 Zn 2.63
Fe (0.5035, 0.5035, 0.5035)  3 Se 2.50, 3 Zn 2.63
Se (0.2500, 0.2500, 0.2500)  6 Fe 2.50
Zn (0.7500, 0.7500, 0.7500)  6 Fe 2.63, 6 Zn 2.88

Computed properties:
**Total magnetic moment**: 4.63 μB per cell
**DOS at the Fermi energy**: 2.06 states/eV/cell
**Mass density**: 7.58 g cm⁻³

=====

Of them, the most stable is entry two and the least stable is entry one.

=====

Entry one
Density functional theory data (PBE) for a relaxed structure of ZnFe2Se.

Lattice parameters (Å, degrees): 5.7950 5.7950 5.7950 151.86 138.74 50.69
Last column: nearest neighbours and their distance in Å.
Positions (direct):
Fe (0.9360, 0.9360, 0.0000)  4 Fe 2.53-2.82, 2 Zn 2.61, 4 Se 2.74
Fe (0.7356, 0.2356, 0.5000)  2 Se 2.42, 4 Zn 2.52, 2 Fe 2.53
Se (0.5479, 0.5479, 0.0000)  2 Fe 2.42
Zn (0.2804, 0.7804, 0.5000)  6 Fe 2.52-2.61, 2 Zn 2.82

Computed properties:
**Total magnetic moment**: 4.77 μB per cell
**DOS at the Fermi energy**: 2.81 states/eV/cell
**Mass density**: 7.06 g cm⁻³

=====

Entry two
Density functional theory data (PBE) for a relaxed structure of ZnFe2Se.

Lattice parameters (Å, degrees): 2.7366 2.7366 8.6495 90.00 90.00 105.43
Last column: nearest neighbours and their distance in Å.
Positions (direct):
Fe (0.0000, 0.0000, 0.0196)  2 Fe 2.44, 2 Zn 2.50
Fe (0.5000, 0.5000, 0.2259)  2 Fe 2.44, 2 Se 2.56
Se (0.0000, 0.0000, 0.4510)  2 Fe 2.56, 4 Se 2.74
Zn (0.5000, 0.5000, 0.8035)  2 Fe 2.50, 4 Zn 2.74

Computed properties:
**Total magnetic moment**: 5.33 μB per cell
**DOS at the Fermi energy**: 2.39 states/eV/cell
**Mass density**: 6.81 g cm⁻³

=====

Entry three
Density functional theory data (PBE) for a relaxed structure of ZnFe2Se.

Lattice parameters (Å, degrees): 8.2354 8.2354 8.2354 20.73 20.73 20.73
Last column: nearest neighbours and their distance in Å.
Positions (direct):
Fe (0.9913, 0.9913, 0.9913)  3 Fe 2.43, 3 Zn 2.60
Fe (0.2532, 0.2532, 0.2532)  3 Se 2.41, 3 Fe 2.43
Se (0.5165, 0.5165, 0.5165)  3 Fe 2.41
Zn (0.7390, 0.7390, 0.7390)  3 Fe 2.60

Computed properties:
**Total magnetic moment**: 4.57 μB per cell
**DOS at the Fermi energy**: 4.12 states/eV/cell
**Mass density**: 6.94 g cm⁻³

=====

Entry four
Density functional theory data (PBE) for a relaxed structure of ZnFe2Se.

Lattice parameters (Å, degrees): 3.9266 3.0329 5.7155 74.52 90.00 90.00
Last column: nearest neighbours and their distance in Å.
Positions (direct):
Fe (0.0000, 0.8814, 0.1121)  2 Se 2.40-2.41, 4 Fe 2.49, 2 Zn 2.66
Fe (0.5000, 0.3620, 0.1511)  4 Fe 2.49, 2 Zn 2.52, 2 Se 2.57
Se (0.0000, 0.2114, 0.4511)  4 Fe 2.40-2.57, 2 Zn 2.69
Zn (0.5000, 0.0452, 0.7857)  4 Fe 2.52-2.66, 2 Se 2.69

Computed properties:
**Total magnetic moment**: 4.99 μB per cell
**DOS at the Fermi energy**: 3.11 states/eV/cell
**Mass density**: 6.48 g cm⁻³

=====

Of them, the most stable is entry one and the least stable is entry two.